1.
Density functional theory data (PBE) for crystalline CeSc2In at its relaxed geometry.

Summary:
Offset from the most stable computed form ... 0.067 eV per atom
Formation enthalpy at 0 K ... -140 meV/atom
Density of states at the Fermi level ... 2.12 states/eV per atom
Raw total energy ... -5.474 eV per atom
Crystal system ... orthorhombic
V ... 25.56 Å³/atom

Cell: 5.2476 6.5686 5.9328 Å, 90.00 90.00 90.00°
Space group Pmmn (No. 59, origin choice 2)
One atom of each set of equivalent atoms:
Ce 0.2500 0.2500 0.1241 x2
Sc 0.2500 0.0088 0.6501 x4
In 0.2500 0.7500 0.1979 x2

***

2.
Density functional theory data (PBE) for crystalline CeScIn2 at its relaxed geometry.

Summary:
Formation enthalpy at 0 K ... -245 meV/atom
Density of states at the Fermi level ... 1.61 states/eV per atom
Raw total energy ... -4.681 eV per atom
Crystal system ... trigonal
V ... 25.58 Å³/atom

Cell: 3.3685 3.3685 31.2338 Å, 90.00 90.00 120.00°
Space group R-3m (No. 166, hexagonal axes)
One atom of each set of equivalent atoms:
Ce 0.0000 0.0000 0.0000 x3
Sc 0.0000 0.0000 0.5000 x3
In 0.0000 0.0000 0.2445 x6

***

3.
Density functional theory data (PBE) for crystalline CeScIn at its relaxed geometry.

Summary:
Offset from the most stable computed form ... 0.000 eV per atom
Formation enthalpy at 0 K ... -315 meV/atom
Density of states at the Fermi level ... 1.81 states/eV per atom
Raw total energy ... -5.317 eV per atom
Crystal system ... hexagonal
V ... 25.71 Å³/atom

Cell: 5.2689 5.2689 6.4153 Å, 90.00 90.00 120.00°
Space group P6_3/mmc (No. 194)
One atom of each set of equivalent atoms:
Ce 0.0000 0.0000 0.0000 x2
Sc 0.3333 0.6667 0.2500 x2
In 0.3333 0.6667 0.7500 x2

***

4.
Density functional theory data (PBE) for crystalline CeSc7In4 at its relaxed geometry.

Summary:
Formation enthalpy at 0 K ... -74 meV/atom
Density of states at the Fermi level ... 1.43 states/eV per atom
Raw total energy ... -5.174 eV per atom
Crystal system ... monoclinic
V ... 25.22 Å³/atom

Cell: 13.6803 5.2534 10.1748 Å, 90.00 124.14 90.00°
Space group C2/m (No. 12)
One atom of each set of equivalent atoms:
Ce 0.0000 0.0000 0.0000 x2
Sc 0.0000 0.5000 0.0000 x2
Sc 0.0611 0.0000 0.3929 x4
Sc 0.2069 0.5000 0.6436 x4
Sc 0.2159 0.0000 0.8732 x4
In 0.0696 0.5000 0.7740 x4
In 0.1825 0.5000 0.3312 x4

***

5.
Density functional theory data (PBE) for crystalline CeScIn at its relaxed geometry.

Summary:
Offset from the most stable computed form ... 0.104 eV per atom
Formation enthalpy at 0 K ... -211 meV/atom
Density of states at the Fermi level ... 2.19 states/eV per atom
Raw total energy ... -5.212 eV per atom
Crystal system ... tetragonal
V ... 25.90 Å³/atom

Cell: 3.3266 3.3266 14.0444 Å, 90.00 90.00 90.00°
Space group I4mm (No. 107)
One atom of each set of equivalent atoms:
Ce 0.0000 0.0000 0.0000 x2
Sc 0.0000 0.0000 0.3173 x2
In 0.0000 0.0000 0.6719 x2

***

6.
Density functional theory data (PBE) for crystalline CeSc6In at its relaxed geometry.

Summary:
Formation enthalpy at 0 K ... -70 meV/atom
Density of states at the Fermi level ... 1.92 states/eV per atom
Raw total energy ... -5.903 eV per atom
Crystal system ... tetragonal
V ... 24.45 Å³/atom

Cell: 4.6035 4.6035 9.2292 Å, 90.00 90.00 90.00°
Space group P4/mmm (No. 123)
One atom of each set of equivalent atoms:
Ce 0.0000 0.0000 0.0000 x1
Sc 0.0000 0.5000 0.2564 x4
Sc 0.5000 0.5000 0.0000 x1
Sc 0.5000 0.5000 0.5000 x1
In 0.0000 0.0000 0.5000 x1

***

7.
Density functional theory data (PBE) for crystalline Ce3Sc2In3 at its relaxed geometry.

Summary:
Formation enthalpy at 0 K ... -273 meV/atom
Density of states at the Fermi level ... 2.03 states/eV per atom
Raw total energy ... -5.108 eV per atom
Crystal system ... hexagonal
V ... 25.56 Å³/atom

Cell: 8.6423 8.6423 3.1615 Å, 90.00 90.00 120.00°
Space group P-62m (No. 189)
One atom of each set of equivalent atoms:
Ce 0.0000 0.7732 0.0000 x3
Sc 0.3333 0.6667 0.0000 x2
In 0.0000 0.4047 0.5000 x3

***

8.
Density functional theory data (PBE) for crystalline Ce5ScIn2 at its relaxed geometry.

Summary:
Formation enthalpy at 0 K ... -217 meV/atom
Density of states at the Fermi level ... 2.71 states/eV per atom
Raw total energy ... -5.402 eV per atom
Crystal system ... orthorhombic
V ... 26.49 Å³/atom

Cell: 6.8373 13.7073 4.5220 Å, 90.00 90.00 90.00°
Space group Pbam (No. 55)
One atom of each set of equivalent atoms:
Ce 0.0000 0.0000 0.0000 x2
Ce 0.0714 0.2653 0.0000 x4
Ce 0.2350 0.8638 0.5000 x4
Sc 0.0000 0.5000 0.0000 x2
In 0.2231 0.6151 0.5000 x4